(1)
# Pr2Er3Cd4

A geometry-optimized Pr2Er3Cd4 structure (PBE, the Alexandria database).

ΔE_f in kJ per mole of atoms: -16.8

a b c (Å): 6.842 18.411 8.246
angles (deg): 90.00 90.00 90.00
Space group Cmce (No. 64)
Inequivalent atoms, fractional coordinates:
Pr: 0.000 0.093 0.101 x8
Er: 0.000 0.000 0.500 x4
Er: 0.250 0.246 0.750 x8
Cd: 0.000 0.164 0.487 x8
Cd: 0.250 0.075 0.750 x8

---

(2)
# U2Pd5Pt5

A geometry-optimized U2Pd5Pt5 structure (PBE, the Alexandria database).

ΔE_f in kJ per mole of atoms: -51.8
Distance to the lowest polymorph of the same formula in meV per atom: 0.0

a b c (Å): 11.969 4.119 9.117
angles (deg): 90.00 114.93 90.00
Space group C2/m (No. 12)
Inequivalent atoms, fractional coordinates:
U: 0.084 0.000 0.252 x4
Pd: 0.000 0.000 0.500 x2
Pd: 0.166 0.000 0.001 x4
Pd: 0.245 0.500 0.248 x4
Pt: 0.000 0.500 0.000 x2
Pt: 0.079 0.500 0.751 x4
Pt: 0.167 0.500 0.508 x4

---

(3)
# NdMg4Sc3

A geometry-optimized NdMg4Sc3 structure (PBE, the Alexandria database).

ΔE_f in kJ per mole of atoms: -4.0

a b c (Å): 10.361 7.373 5.182
angles (deg): 90.00 90.00 90.00
Space group Pmma (No. 51)
Inequivalent atoms, fractional coordinates:
Nd: 0.000 0.000 0.000 x2
Mg: 0.000 0.264 0.500 x4
Mg: 0.250 0.264 0.007 x4
Sc: 0.000 0.500 0.000 x2
Sc: 0.250 0.000 0.505 x2
Sc: 0.250 0.500 0.506 x2